Here is an optimized crystal structure of Tl9Sn2Pb from the Alexandria database. Energies are from PBE.

```
Tl9Sn2Pb
1.0
4.935 0.000 0.000
0.000 4.935 0.000
0.000 0.000 14.892
Tl Sn Pb
9 2 1
direct
0.000 0.000 0.000 Tl
0.000 0.000 0.335 Tl
0.000 0.000 0.665 Tl
0.000 0.500 0.170 Tl
0.000 0.500 0.500 Tl
0.000 0.500 0.830 Tl
0.500 0.000 0.170 Tl
0.500 0.000 0.500 Tl
0.500 0.000 0.830 Tl
0.500 0.500 0.335 Sn
0.500 0.500 0.665 Sn
0.500 0.500 0.000 Pb
```

Summary:
- Total DFT energy (no corrections): -2.72 eV per atom
- E_form: 0.027 eV per atom
- Spin magnetization: 0.00 Bohr magnetons per cell